The following is a PBE calculation of crystalline BeCd2Si at its relaxed geometry, from the Alexandria database.

Structure (CIF):
```
data_BeCd2Si
_space_group_name_H-M_alt 'C 1 2/m 1'
_space_group_IT_number 12
_cell_length_a 6.1584
_cell_length_b 8.2489
_cell_length_c 2.8094
_cell_angle_alpha 90.00
_cell_angle_beta 90.14
_cell_angle_gamma 90.00
loop_
_space_group_symop_operation_xyz
'x,y,z'
'-x,-y,-z'
'-x,y,-z'
'x,-y,z'
'x+1/2,y+1/2,z'
'-x+1/2,-y+1/2,-z'
'-x+1/2,y+1/2,-z'
'x+1/2,-y+1/2,z'
loop_
_atom_site_label
_atom_site_type_symbol
_atom_site_fract_x
_atom_site_fract_y
_atom_site_fract_z
Be1 Be 0.0000 0.0000 0.0000
Cd1 Cd 0.2500 0.2500 0.5000
Si1 Si 0.0000 0.5000 0.0000
```

energy relative to the lowest polymorph listed for this composition	250	meV/atom
ΔE_f (raw)	0.534	eV/atom


The following is a PBE calculation of crystalline SmPuGa4 at its relaxed geometry, from the Alexandria database.

Structure (CIF):
```
data_SmPuGa4
_space_group_name_H-M_alt 'F -4 3 m'
_space_group_IT_number 216
_space_group_name_Hall 'F -4 2 3'
_cell_length_a 7.8658
_cell_length_b 7.8658
_cell_length_c 7.8658
_cell_angle_alpha 90.00
_cell_angle_beta 90.00
_cell_angle_gamma 90.00
loop_
_atom_site_label
_atom_site_type_symbol
_atom_site_fract_x
_atom_site_fract_y
_atom_site_fract_z
Sm1 Sm 0.0000 0.0000 0.0000
Pu1 Pu 0.2500 0.2500 0.2500
Ga1 Ga 0.1247 0.1247 0.6247
```

energy relative to the lowest polymorph listed for this composition	50	meV/atom
formation energy	-2.7	eV/f.u.


The following is a PBE calculation of crystalline Pr5Al2Te2 at its relaxed geometry, from the Alexandria database.

Structure (CIF):
```
data_Pr5Al2Te2
_space_group_name_H-M_alt 'C m c e'
_space_group_IT_number 64
_space_group_name_Hall '-C 2ac 2'
_cell_length_a 16.1376
_cell_length_b 8.2912
_cell_length_c 8.2725
_cell_angle_alpha 90.00
_cell_angle_beta 90.00
_cell_angle_gamma 90.00
loop_
_atom_site_label
_atom_site_type_symbol
_atom_site_fract_x
_atom_site_fract_y
_atom_site_fract_z
Pr1 Pr 0.0000 0.0000 0.0000
Pr2 Pr 0.1342 0.1722 0.3314
Al1 Al 0.0000 0.1181 0.6150
Te1 Te 0.2023 0.0000 0.0000
```

ΔE_f (raw)	-0.830	eV/atom